VASP calculation (GGA-PBE) on a relaxed structure of SnSe2SN.

Unit cell a=5.479 b=5.479 c=3.352 alpha=90.00 beta=90.00 gamma=90.00
Positions (direct):
1 N 0.000 0.000 0.500
2 Se 0.000 0.500 0.000
3 S 0.000 0.000 0.000
4 Se 0.500 0.000 0.000
5 Sn 0.500 0.500 0.500

Properties
E_form (uncorrected), eV per atom: 0.683
VASP energy, eV/cell: -20.0
Energy above the most stable polymorph in this dataset, meV/atom: 0
ρ, g cm⁻³: 5.3
Spin magnetization, μB per formula unit: 0.00

VASP calculation (GGA-PBE) on a relaxed structure of Tb4MnBr5.

Unit cell a=3.851 b=9.128 c=9.285 alpha=104.14 beta=101.97 gamma=90.00
Positions (direct):
1 Mn 0.500 0.000 0.000
2 Br 0.500 0.500 0.000
3 Tb 0.364 0.930 0.728
4 Tb 0.999 0.767 0.999
5 Br 0.830 0.150 0.660
6 Br 0.833 0.681 0.666
7 Tb 0.636 0.070 0.272
8 Tb 0.001 0.233 0.001
9 Br 0.167 0.319 0.334
10 Br 0.170 0.850 0.340

Properties
E_form (uncorrected), eV per atom: -1.212
VASP energy, eV/cell: -48.2
ρ, g cm⁻³: 5.9
Spin magnetization, μB per formula unit: 0.00

VASP calculation (GGA-PBE) on a relaxed structure of Ca2ReRh.

Unit cell a=2.948 b=2.948 c=9.022 alpha=90.00 beta=90.00 gamma=90.00
Positions (direct):
1 Rh 0.500 0.500 0.750
2 Re 0.500 0.500 0.250
3 Ca 0.000 0.000 0.979
4 Ca 0.000 0.000 0.521

Properties
Formation energy from the elements, eV per atom: 0.42
VASP energy, eV/cell: -22.1
ρ, g cm⁻³: 7.8
Spin magnetization, μB per formula unit: 0.26

VASP calculation (GGA-PBE) on a relaxed structure of MgMn2Se.

Unit cell a=3.468 b=3.595 c=6.090 alpha=72.87 beta=90.00 gamma=90.00
Positions (direct):
1 Mg 0.500 0.696 0.732
2 Mn 0.000 0.059 0.008
3 Mn 0.500 0.453 0.220
4 Se 0.000 0.293 0.539

Properties
E_form (uncorrected), eV per atom: 0.027
VASP energy, eV/cell: -23.3
Energy above the most stable polymorph in this dataset, meV/atom: 7
ρ, g cm⁻³: 4.9
Spin magnetization, μB per formula unit: 7.67

VASP calculation (GGA-PBE) on a relaxed structure of Mn21P2N6.

Unit cell a=7.313 b=7.313 c=7.313 alpha=60.00 beta=60.00 gamma=60.00
Positions (direct):
1 N 0.277 0.277 0.723
2 Mn 0.668 0.332 0.000
3 Mn 0.668 0.000 0.000
4 Mn 0.000 0.668 0.332
5 Mn 0.377 0.377 0.377
6 Mn 0.332 0.000 0.668
7 Mn 0.000 0.332 0.668
8 Mn 0.000 0.000 0.000
9 N 0.277 0.723 0.723
10 Mn 0.377 0.869 0.377
11 Mn 0.000 0.668 0.000
12 P 0.750 0.750 0.750
13 Mn 0.000 0.332 0.000
14 P 0.250 0.250 0.250
15 Mn 0.000 0.000 0.668
16 Mn 0.000 0.000 0.332
17 N 0.723 0.277 0.277
18 N 0.723 0.277 0.723
19 Mn 0.623 0.131 0.623
20 N 0.277 0.723 0.277
21 Mn 0.377 0.377 0.869
22 Mn 0.332 0.668 0.000
23 Mn 0.623 0.623 0.623
24 Mn 0.623 0.623 0.131
25 Mn 0.869 0.377 0.377
26 Mn 0.668 0.000 0.332
27 Mn 0.131 0.623 0.623
28 N 0.723 0.723 0.277
29 Mn 0.332 0.000 0.000

Properties
E_form (uncorrected), eV per atom: -0.069
VASP energy, eV/cell: -255.3
ρ, g cm⁻³: 7.8
Spin magnetization, μB per formula unit: 13.99

VASP calculation (GGA-PBE) on a relaxed structure of LiGaCl2.

Unit cell a=6.480 b=6.480 c=6.982 alpha=62.35 beta=62.35 gamma=90.00
Positions (direct):
1 Ga 0.750 0.250 0.500
2 Li 0.500 0.500 0.000
3 Cl 0.558 0.125 0.250
4 Ga 0.000 0.000 0.000
5 Cl 0.375 0.442 0.750
6 Cl 0.875 0.808 0.750
7 Li 0.250 0.750 0.500
8 Cl 0.192 0.625 0.250

Properties
E_form (uncorrected), eV per atom: -1.203
VASP energy, eV/cell: -26.9
Energy above the most stable polymorph in this dataset, meV/atom: 0
ρ, g cm⁻³: 2.2
Spin magnetization, μB per formula unit: 0.00

Q: Which value of ρ does entry 1 give?
A: 5.3 g cm⁻³

Q: Among the records above, which one has the highest spin magnetization?
A: Mn21P2N6